Compound: ScAlHg2
Source: Alexandria
Functional: GGA-PBE
Structure: relaxed

Geometry as CIF:
```
data_ScAlHg2
_chemical_formula_sum 'Sc2 Al2 Hg4'
_cell_length_a 6.2464
_cell_length_b 10.1387
_cell_length_c 3.1664
_cell_angle_alpha 90.00
_cell_angle_beta 119.46
_cell_angle_gamma 90.00
_symmetry_space_group_name_H-M 'C 1 2/m 1'
_symmetry_Int_Tables_number 12
_symmetry_space_group_name_Hall '-C 2y'
loop_
_atom_site_label
_atom_site_fract_x
_atom_site_fract_y
_atom_site_fract_z
Sc1 0.0000 0.0000 0.0000
Al1 0.0000 0.5000 0.0000
Hg1 0.2500 0.2500 0.5000
```

- energy of formation (eV per formula unit) = -0.26
- magnetization (μB per cell) = 0.7
- calculated density (kg/m3) = 8999